Record 1
# PPd6Au2

A relaxed PPd6Au2 crystal (PBE, the Alexandria database).

Cell lengths 7.4541, 7.4541, 2.9755 Å; angles 90.00, 90.00, 120.00 degrees
Space group P-62m (No. 189)
Symmetry-distinct sites (fractional):
P  0.0000  0.0000  0.0000 (multiplicity 1)
Pd  0.0000  0.2484  0.5000 (multiplicity 3)
Pd  0.0000  0.6266  0.0000 (multiplicity 3)
Au  0.3333  0.6667  0.5000 (multiplicity 2)

The density of states at the Fermi level comes out at 4.854 states/eV/cell. The energy of formation from the pure elements is -1.482 eV/f.u.

***

Record 2
# CaAg2Ir

A relaxed CaAg2Ir crystal (PBE, the Alexandria database).

Cell lengths 5.688, 10.065, 2.990 Å; angles 90.00, 117.94, 90.00 degrees
Space group C2/m (No. 12)
Symmetry-distinct sites (fractional):
Ca  0.000  0.000  0.000 (multiplicity 2)
Ag  0.250  0.250  0.500 (multiplicity 4)
Ir  0.000  0.500  0.000 (multiplicity 2)

The density of states at the Fermi level comes out at 4.799 states/eV/cell. The energy of formation from the pure elements is 0.527 eV/f.u.

***

Look up the density of states at the Fermi level of the first one.
4.854 states/eV/cell